(1)
TaZn2Pt | PBE-GGA | relaxed

Unit cell a=9.258 b=9.258 c=9.258 alpha=17.72 beta=17.72 gamma=17.72
Sites, in units of the cell vectors:
Ta 0.000 0.000 0.000
Zn 0.247 0.247 0.247
Zn 0.497 0.497 0.497
Pt 0.749 0.749 0.749

Computed properties:
Electronic total energy   -5.2629 eV per atom
Calculated volume   16.0 Å³ per atom
ΔE_f   -0.153 eV per atom
DOS at the Fermi energy   2.1 states/eV/cell
Energy above the most stable polymorph in this dataset   0.172 eV/atom

***

(2)
TaZnPt2 | PBE-GGA | relaxed

Unit cell a=4.912 b=4.912 c=4.834 alpha=98.26 beta=98.26 gamma=33.50
Sites, in units of the cell vectors:
Ta 0.000 0.000 0.000
Zn 0.758 0.758 0.318
Pt 0.254 0.254 0.816
Pt 0.504 0.504 0.495

Computed properties:
Electronic total energy   -6.8339 eV per atom
Calculated volume   15.9 Å³ per atom
ΔE_f   -0.532 eV per atom
DOS at the Fermi energy   1.6 states/eV/cell

***

(3)
TaZnPt | PBE-GGA | relaxed

Unit cell a=2.880 b=2.880 c=6.789 alpha=90.00 beta=90.00 gamma=120.00
Sites, in units of the cell vectors:
Ta 0.000 0.000 0.000
Zn 0.667 0.333 0.347
Pt 0.333 0.667 0.671

Computed properties:
Electronic total energy   -6.6149 eV per atom
Calculated volume   16.3 Å³ per atom
ΔE_f   -0.226 eV per atom
DOS at the Fermi energy   1.5 states/eV/cell